Record 1
This record from Alexandria describes a geometry-optimized CeNi6Pt6 structure. The functional is PBE-GGA.

abc: 4.987 6.629 6.629
angles: 82.71 67.90 67.90
Site moments in Bohr magnetons follow the coordinates.
Fractional positions:
Pt 0.657 0.343 0.343  0.18
Pt 0.343 0.657 0.657  0.18
Pt 0.303 0.197 0.197  0.20
Pt 0.697 0.803 0.803  0.20
Pt 0.000 0.658 0.342  0.18
Pt 0.000 0.342 0.658  0.18
Ni 0.500 0.235 0.765  0.70
Ni 0.500 0.500 0.000  0.64
Ni 0.500 0.000 0.500  0.64
Ni 0.000 0.000 0.500  0.64
Ni 0.000 0.500 0.000  0.64
Ni 0.500 0.765 0.235  0.70
Ce 0.000 0.000 0.000  -0.25

Results
* formation energy: -0.330 eV per atom
* volume: 14.47 A^3/atom

=====

Record 2
This record from Alexandria describes a geometry-optimized CePuNiPt structure. The functional is PBE-GGA.

abc: 4.686 4.686 4.686
angles: 60.00 60.00 60.00
Site moments in Bohr magnetons follow the coordinates.
Fractional positions:
Ce 0.500 0.500 0.500  0.41
Ni 0.250 0.250 0.250  -0.15
Pu 0.750 0.750 0.750  4.79
Pt 0.000 0.000 0.000  -0.11

Results
* formation energy: -0.627 eV per atom
* volume: 18.19 A^3/atom

=====

Record 3
This record from Alexandria describes a geometry-optimized CeNiPtRh structure. The functional is PBE-GGA.

abc: 4.007 3.957 4.187
angles: 90.00 90.00 90.00
Site moments in Bohr magnetons follow the coordinates.
Fractional positions:
Ce 0.500 0.000 0.500  -0.08
Ni 0.500 0.500 0.000  0.30
Pt 0.000 0.000 0.000  0.07
Rh 0.000 0.500 0.500  0.13

Results
* formation energy: -0.702 eV per atom
* volume: 16.60 A^3/atom

=====

Record 4
This record from Alexandria describes a geometry-optimized CeScNiPt structure. The functional is PBE-GGA.

abc: 4.800 4.800 4.800
angles: 60.00 60.00 60.00
Site moments in Bohr magnetons follow the coordinates.
Fractional positions:
Ce 0.250 0.250 0.250  0.40
Sc 0.750 0.750 0.750  0.03
Ni 0.000 0.000 0.000  -0.04
Pt 0.500 0.500 0.500  -0.01

Results
* formation energy: -0.670 eV per atom
* volume: 19.56 A^3/atom

=====

Record 5
This record from Alexandria describes a geometry-optimized CeSi2Ni5Pt structure. The functional is PBE-GGA.

abc: 3.772 3.772 8.719
angles: 90.00 90.00 90.00
Fractional positions:
Si 0.500 0.500 0.128
Si 0.500 0.500 0.872
Ni 0.000 0.500 0.729
Ni 0.000 0.500 0.271
Ni 0.500 0.000 0.271
Ni 0.500 0.500 0.500
Ni 0.500 0.000 0.729
Pt 0.000 0.000 0.000
Ce 0.000 0.000 0.500

Results
* volume: 13.79 A^3/atom
* formation energy without anion corrections: -235.7 kJ/mol of formula units

=====

Record 6
This record from Alexandria describes a geometry-optimized Ce2Si3Ni4Pt structure. The functional is PBE-GGA.

abc: 3.875 3.875 10.465
angles: 90.00 90.00 90.00
Fractional positions:
Si 0.000 0.000 0.500
Si 0.000 0.500 0.120
Si 0.500 0.000 0.880
Ce 0.000 0.500 0.748
Ce 0.500 0.000 0.252
Ni 0.500 0.000 0.660
Ni 0.000 0.000 0.000
Ni 0.000 0.500 0.340
Ni 0.500 0.500 0.000
Pt 0.500 0.500 0.500

Results
* volume: 15.72 A^3/atom
* formation energy without anion corrections: -722.7 kJ/mol of formula units

=====

Record 7
This record from Alexandria describes a geometry-optimized Ce3Si6NiPt2 structure. The functional is PBE-GGA.

abc: 5.756 5.756 7.776
angles: 90.00 90.00 120.00
Site moments in Bohr magnetons follow the coordinates.
Fractional positions:
Pt 0.333 0.667 0.049  0.01
Pt 0.667 0.333 0.951  0.01
Si 0.188 0.812 0.310  0.01
Si 0.812 0.624 0.690  0.01
Si 0.376 0.188 0.690  0.01
Si 0.812 0.188 0.690  0.01
Si 0.188 0.376 0.310  0.01
Si 0.624 0.812 0.310  0.01
Ce 0.333 0.667 0.656  0.38
Ce 0.000 0.000 0.000  0.36
Ce 0.667 0.333 0.344  0.38
Ni 0.000 0.000 0.500  0.08

Results
* volume: 18.59 A^3/atom
* formation energy without anion corrections: -604.2 kJ/mol of formula units

=====

Record 8
This record from Alexandria describes a geometry-optimized Ce2Si3NiPt4 structure. The functional is PBE-GGA.

abc: 4.189 4.189 10.084
angles: 90.00 90.00 90.00
Site moments in Bohr magnetons follow the coordinates.
Fractional positions:
Ce 0.000 0.500 0.740  -0.06
Ce 0.500 0.000 0.260  -0.06
Pt 0.500 0.500 0.000  0.00
Pt 0.000 0.500 0.366  0.00
Pt 0.500 0.000 0.634  0.00
Pt 0.000 0.000 0.000  0.00
Si 0.500 0.000 0.869  0.00
Si 0.000 0.500 0.131  0.00
Si 0.000 0.000 0.500  0.00
Ni 0.500 0.500 0.500  0.01

Results
* volume: 17.69 A^3/atom
* formation energy without anion corrections: -948.0 kJ/mol of formula units

=====

Record 9
This record from Alexandria describes a geometry-optimized Ce2SiNiPt6 structure. The functional is PBE-GGA.

abc: 5.410 8.294 6.424
angles: 51.98 65.10 90.00
Site moments in Bohr magnetons follow the coordinates.
Fractional positions:
Si 0.000 0.000 0.000  0.00
Pt 0.251 0.107 0.498  -0.02
Pt 0.239 0.745 0.030  -0.02
Pt 0.761 0.255 0.970  -0.02
Pt 0.732 0.745 0.029  -0.02
Pt 0.749 0.893 0.502  -0.02
Pt 0.268 0.255 0.971  -0.02
Ni 0.500 0.500 0.000  -0.04
Ce 0.767 0.301 0.466  0.52
Ce 0.233 0.699 0.534  0.52

Results
* volume: 19.19 A^3/atom
* formation energy without anion corrections: -765.5 kJ/mol of formula units

=====

Record 10
This record from Alexandria describes a geometry-optimized Ce2Si3Ni12Pt structure. The functional is PBE-GGA.

abc: 6.291 6.291 6.291
angles: 83.94 83.94 83.94
Fractional positions:
Ni 0.805 0.318 0.805
Ni 0.682 0.195 0.195
Ni 0.195 0.195 0.682
Ni 0.382 0.906 0.382
Ni 0.318 0.805 0.805
Ni 0.382 0.382 0.906
Ni 0.906 0.382 0.382
Ni 0.094 0.618 0.618
Ni 0.805 0.805 0.318
Ni 0.618 0.618 0.094
Ni 0.195 0.682 0.195
Ni 0.618 0.094 0.618
Si 0.000 0.500 0.000
Si 0.000 0.000 0.500
Si 0.500 0.000 0.000
Pt 0.000 0.000 0.000
Ce 0.350 0.350 0.350
Ce 0.650 0.650 0.650

Results
* volume: 13.62 A^3/atom
* formation energy without anion corrections: -247.7 kJ/mol of formula units

=====

Record 11
This record from Alexandria describes a geometry-optimized CeNiSnPt structure. The functional is PBE-GGA.

abc: 4.795 4.795 4.795
angles: 60.00 60.00 60.00
Fractional positions:
Ce 0.750 0.750 0.750
Sn 0.250 0.250 0.250
Ni 0.500 0.500 0.500
Pt 0.000 0.000 0.000

Results
* formation energy: -0.615 eV per atom
* volume: 19.49 A^3/atom

=====

Record 12
This record from Alexandria describes a geometry-optimized Ce2NiSn4Pt3 structure. The functional is PBE-GGA.

abc: 4.570 4.570 10.670
angles: 90.00 90.00 90.00
Site moments in Bohr magnetons follow the coordinates.
Fractional positions:
Pt 0.500 0.000 0.867  -0.01
Pt 0.000 0.500 0.133  -0.01
Pt 0.000 0.000 0.500  0.00
Sn 0.000 0.000 0.000  0.00
Sn 0.500 0.000 0.623  0.00
Sn 0.500 0.500 0.000  0.00
Sn 0.000 0.500 0.377  0.00
Ce 0.000 0.500 0.735  0.82
Ce 0.500 0.000 0.265  0.82
Ni 0.500 0.500 0.500  -0.01

Results
* formation energy: -0.719 eV per atom
* volume: 22.29 A^3/atom

=====

What is the volume in the twelfth record? 22.29 A^3/atom

=====

Which value of volume does entry 10 give? 13.62 A^3/atom

=====

Copy entry 11 word for word.
This record from Alexandria describes a geometry-optimized CeNiSnPt structure. The functional is PBE-GGA.

abc: 4.795 4.795 4.795
angles: 60.00 60.00 60.00
Fractional positions:
Ce 0.750 0.750 0.750
Sn 0.250 0.250 0.250
Ni 0.500 0.500 0.500
Pt 0.000 0.000 0.000

Results
* formation energy: -0.615 eV per atom
* volume: 19.49 A^3/atom

=====

Which value of volume does entry 9 give? 19.19 A^3/atom